# 1
# Pm12ErTm5

Pm12ErTm5 after structural relaxation (GGA-PBE, Alexandria).

abc: 11.2343 17.9455 5.9033
angles: 90.00 90.01 90.00
Space group C2/m (No. 12)
Unique sites:
Pm  0.1600  0.1676  0.0023
Pm  0.1607  0.3328  0.4977
Pm  0.1619  0.0000  0.4972
Pm  0.1617  0.5000  0.0028
Er  0.0000  0.0000  0.0000
Tm  0.0000  0.1660  0.5000
Tm  0.0000  0.3343  0.0000
Tm  0.0000  0.5000  0.5000

Results
* formation energy from the elements: 0.045 eV per atom



# 2
# Al2ZnAsSe

Al2ZnAsSe after structural relaxation (GGA-PBE, Alexandria).

abc: 4.7752 4.7752 4.8697
angles: 90.00 90.00 90.00
Space group P4/mmm (No. 123)
Unique sites:
Al  0.0000  0.5000  0.0000
Zn  0.0000  0.0000  0.0000
As  0.0000  0.0000  0.5000
Se  0.5000  0.5000  0.5000

Results
* energy relative to the elements, uncorrected: 0.47 eV/atom



# 3
# SrLuTlZn

SrLuTlZn after structural relaxation (GGA-PBE, Alexandria).

abc: 7.6200 7.6200 7.6200
angles: 90.00 90.00 90.00
Space group F-43m (No. 216)
Unique sites:
Sr  0.0000  0.0000  0.0000
Lu  0.0000  0.0000  0.5000
Tl  0.2500  0.2500  0.7500
Zn  0.2500  0.2500  0.2500

Results
* formation energy from the elements: -0.228 eV per atom



# 4
# LaDyGa2Pt2

LaDyGa2Pt2 after structural relaxation (GGA-PBE, Alexandria).

abc: 4.5046 4.5046 7.2808
angles: 90.00 90.00 120.00
Space group P-3m1 (No. 164)
Unique sites:
La  0.0000  0.0000  0.0000
Dy  0.0000  0.0000  0.5000
Ga  0.3333  0.6667  0.2789
Pt  0.3333  0.6667  0.7220

Results
* formation energy from the elements: -1.062 eV per atom



# 5
# AcPdPb3

AcPdPb3 after structural relaxation (GGA-PBE, Alexandria).

abc: 10.2148 4.6641 12.3108
angles: 90.00 90.00 90.00
Space group Pnma (No. 62)
Unique sites:
Ac  0.2009  0.2500  0.0143
Pd  0.1176  0.2500  0.3556
Pb  0.0476  0.2500  0.5879
Pb  0.0955  0.7500  0.8096
Pb  0.1787  0.7500  0.2273

Results
* energy above the most stable polymorph in this dataset: 1.07 kJ/mol of atoms
* formation energy from the elements: -0.366 eV per atom



# 6
# Sc2CuPb

Sc2CuPb after structural relaxation (GGA-PBE, Alexandria).

abc: 4.1624 4.1624 9.7961
angles: 90.00 90.00 90.00
Space group I-4m2 (No. 119)
Unique sites:
Sc  0.0000  0.0000  0.0000
Sc  0.0000  0.5000  0.2500
Cu  0.0000  0.5000  0.7500
Pb  0.0000  0.0000  0.5000

Results
* formation energy from the elements: -0.173 eV per atom



# 7
# K2DyRuO4

K2DyRuO4 after structural relaxation (GGA-PBE, Alexandria).

abc: 5.5750 3.4056 6.4631
angles: 90.00 108.15 90.00
Space group P2/m (No. 10)
Unique sites:
K  0.0000  0.0000  0.0000
K  0.5000  0.5000  0.0000
Dy  0.0000  0.5000  0.5000
Ru  0.5000  0.0000  0.5000
O  0.2427  0.0000  0.6914
O  0.2985  0.5000  0.3251

Results
* energy relative to the elements, uncorrected: -1.83 eV/atom



# 8
# Mn2ReNi

Mn2ReNi after structural relaxation (GGA-PBE, Alexandria).

abc: 2.6979 2.6979 24.7348
angles: 90.00 90.00 120.00
Space group R-3m (No. 166, hexagonal axes)
Unique sites:
Mn  0.0000  0.0000  0.2470
Re  0.0000  0.0000  0.0000
Ni  0.0000  0.0000  0.5000

Results
* formation energy from the elements: 0.192 eV per atom



# 9
# LaY3Ho

LaY3Ho after structural relaxation (GGA-PBE, Alexandria).

abc: 11.8359 10.5118 5.5481
angles: 90.00 90.00 90.00
Space group Pnma (No. 62)
Unique sites:
La  0.0519  0.2500  0.0004
Y  0.1696  0.7500  0.4991
Y  0.1912  0.5632  0.9993
Ho  0.0000  0.0000  0.5000

Results
* energy above the most stable polymorph in this dataset: 15.79 kJ/mol of atoms
* formation energy from the elements: 0.191 eV per atom



# 10
# Rb3GeF6

Rb3GeF6 after structural relaxation (GGA-PBE, Alexandria).

abc: 9.3527 9.3527 9.3527
angles: 90.00 90.00 90.00
Space group Fm-3m (No. 225)
Unique sites:
Rb  0.0000  0.0000  0.0000
Rb  0.2500  0.2500  0.2500
Ge  0.0000  0.0000  0.5000
F  0.0000  0.0000  0.2843

Results
* energy above the most stable polymorph in this dataset: 0.00 kJ/mol of atoms
* energy relative to the elements, uncorrected: -2.53 eV/atom



# 11
# TiAgRu2O

TiAgRu2O after structural relaxation (GGA-PBE, Alexandria).

abc: 4.1172 4.1172 4.0532
angles: 90.00 90.00 90.00
Space group P4/mmm (No. 123)
Unique sites:
Ti  0.0000  0.0000  0.0000
Ag  0.5000  0.5000  0.0000
Ru  0.0000  0.5000  0.5000
O  0.0000  0.0000  0.5000

Results
* energy relative to the elements, uncorrected: -0.30 eV/atom



# 12
# DyMgAgGe

DyMgAgGe after structural relaxation (GGA-PBE, Alexandria).

abc: 6.9543 6.9543 6.9543
angles: 90.00 90.00 90.00
Space group F-43m (No. 216)
Unique sites:
Dy  0.0000  0.0000  0.0000
Mg  0.0000  0.0000  0.5000
Ag  0.2500  0.2500  0.7500
Ge  0.2500  0.2500  0.2500

Results
* formation energy from the elements: -0.417 eV per atom



Per-record magnetic moment, μB/cell: 0.00 0.00 0.00 0.00 0.00 0.00 1.01 16.17 0.00 3.95 0.00 0.00